# 1
A relaxed structure of Ga6Ag8Au. Source: Alexandria via LeMat-Bulk, functional PBE.

a b c (Å): 6.7832 6.7832 6.7832
angles (deg): 75.02 75.02 75.02
Fractional coordinates of all 15 atoms:
Ga 0.4310 0.8345 0.6462
Ga 0.3538 0.5690 0.1655
Ga 0.1655 0.3538 0.5690
Ga 0.6462 0.4310 0.8345
Ga 0.8345 0.6462 0.4310
Ga 0.5690 0.1655 0.3538
Ag 0.8552 0.1886 0.5629
Ag 0.8114 0.4371 0.1448
Ag 0.7953 0.7953 0.7953
Ag 0.5629 0.8552 0.1886
Ag 0.1448 0.8114 0.4371
Ag 0.2047 0.2047 0.2047
Ag 0.4371 0.1448 0.8114
Ag 0.1886 0.5629 0.8552
Au 0.0000 0.0000 0.0000

Properties
SG: R-3, No. 148
Raw total energy (Ry per atom): -0.21143
N(E_F) (states/eV/f.u.): 5.19
Calculated formation energy (eV per atom): 0.073

***

# 2
A relaxed structure of GaAg3Au3. Source: Alexandria via LeMat-Bulk, functional PBE.

a b c (Å): 4.8284 7.7059 7.7057
angles (deg): 120.00 90.00 90.00
Fractional coordinates of all 14 atoms:
Ga 0.2500 0.6667 0.3333
Ga 0.7500 0.3333 0.6667
Au 0.2500 0.8111 0.7519
Au 0.2500 0.9408 0.1889
Au 0.2500 0.2481 0.0592
Au 0.7500 0.1889 0.2481
Au 0.7500 0.7519 0.9408
Au 0.7500 0.0592 0.8111
Ag 0.2500 0.3789 0.4784
Ag 0.2500 0.0995 0.6211
Ag 0.7500 0.9005 0.3789
Ag 0.2500 0.5216 0.9005
Ag 0.7500 0.6211 0.5216
Ag 0.7500 0.4784 0.0995

Properties
SG: P6_3/m, No. 176
Raw total energy (Ry per atom): -0.22804
N(E_F) (states/eV/f.u.): 2.29
Calculated formation energy (eV per atom): -0.044
Distance to the lowest polymorph of the same formula (eV per atom): 0.000

***

# 3
A relaxed structure of GaAgAu. Source: Alexandria via LeMat-Bulk, functional PBE.

a b c (Å): 3.4800 3.4800 5.0418
angles (deg): 110.19 110.19 90.00
Fractional coordinates of all 3 atoms:
Ag 0.2848 0.2848 0.5696
Ga 0.9540 0.9540 0.9081
Au 0.6111 0.6111 0.2223

Properties
SG: I4mm, No. 107
Raw total energy (Ry per atom): -0.23005
N(E_F) (states/eV/f.u.): 1.10
Calculated formation energy (eV per atom): -0.078
Distance to the lowest polymorph of the same formula (eV per atom): 0.029

***

# 4
A relaxed structure of Ga3Ag5Au. Source: Alexandria via LeMat-Bulk, functional PBE.

a b c (Å): 7.2597 7.2597 8.1890
angles (deg): 77.59 77.59 63.71
Fractional coordinates of all 18 atoms:
Ag 0.9389 0.3120 0.2257
Ag 0.3120 0.9389 0.2257
Ag 0.2682 0.2682 0.9287
Ag 0.6880 0.0611 0.7743
Ag 0.3267 0.6733 0.0000
Ag 0.4996 0.4996 0.3205
Ag 0.6733 0.3267 0.0000
Ag 0.7318 0.7318 0.0713
Ag 0.5004 0.5004 0.6795
Ag 0.0611 0.6880 0.7743
Ga 0.3089 0.3089 0.2372
Ga 0.0000 0.0000 0.5000
Ga 0.6911 0.6911 0.7628
Ga 0.6794 0.6794 0.4296
Ga 0.3206 0.3206 0.5704
Ga 0.0000 0.0000 0.0000
Au 0.1184 0.1184 0.7038
Au 0.8816 0.8816 0.2962

Properties
SG: C2/m, No. 12
Raw total energy (Ry per atom): -0.20867
N(E_F) (states/eV/f.u.): 2.55
Calculated formation energy (eV per atom): 0.118

***

# 5
A relaxed structure of GaAg2Au5. Source: Alexandria via LeMat-Bulk, functional PBE.

a b c (Å): 4.2555 9.0374 10.5291
angles (deg): 90.00 90.00 103.62
Fractional coordinates of all 16 atoms:
Au 0.7422 0.4844 0.2500
Au 0.7431 0.4863 0.5788
Au 0.0295 0.0589 0.1189
Au 0.2569 0.5137 0.0788
Au 0.9705 0.9411 0.6189
Au 0.9705 0.9411 0.8811
Au 0.0295 0.0589 0.3811
Au 0.2578 0.5156 0.7500
Au 0.2569 0.5137 0.4212
Au 0.7431 0.4863 0.9212
Ag 0.8737 0.7474 0.4043
Ag 0.8737 0.7474 0.0957
Ag 0.1263 0.2526 0.5957
Ag 0.1263 0.2526 0.9043
Ga 0.8503 0.7005 0.7500
Ga 0.1497 0.2995 0.2500

Properties
SG: Cmcm, No. 63
Raw total energy (Ry per atom): -0.21966
N(E_F) (states/eV/f.u.): 2.13
Calculated formation energy (eV per atom): 0.151
Distance to the lowest polymorph of the same formula (eV per atom): 0.224

***

# 6
A relaxed structure of GaAg3Au12. Source: Alexandria via LeMat-Bulk, functional PBE.

a b c (Å): 4.1956 4.1956 16.2893
angles (deg): 90.00 90.00 90.00
Fractional coordinates of all 16 atoms:
Au 0.5000 0.0000 0.3746
Au 0.0000 0.5000 0.3746
Au 0.5000 0.0000 0.1225
Au 0.5000 0.0000 0.6254
Au 0.5000 0.5000 0.5000
Au 0.0000 0.5000 0.6254
Au 0.0000 0.5000 0.1225
Au 0.5000 0.5000 0.0000
Au 0.5000 0.0000 0.8775
Au 0.5000 0.5000 0.2489
Au 0.0000 0.5000 0.8775
Au 0.5000 0.5000 0.7511
Ag 0.0000 0.0000 0.7503
Ag 0.0000 0.0000 0.5000
Ag 0.0000 0.0000 0.2497
Ga 0.0000 0.0000 0.0000

Properties
SG: P4/mmm, No. 123
Raw total energy (Ry per atom): -0.23700
N(E_F) (states/eV/f.u.): 6.00
Calculated formation energy (eV per atom): -0.043

***

# 7
A relaxed structure of Ga2Ag3Au3. Source: Alexandria via LeMat-Bulk, functional PBE.

a b c (Å): 5.5090 5.5090 5.5090
angles (deg): 105.86 105.86 74.14
Fractional coordinates of all 8 atoms:
Ga 0.2821 0.2821 0.7179
Ga 0.7179 0.7179 0.2821
Ag 0.2280 0.7720 0.5000
Ag 0.7720 0.5000 0.7720
Ag 0.5000 0.2280 0.2280
Au 0.2534 0.7466 0.0000
Au 0.0000 0.2534 0.2534
Au 0.7466 0.0000 0.7466

Properties
SG: R32, No. 155
Raw total energy (Ry per atom): -0.22601
N(E_F) (states/eV/f.u.): 1.77
Calculated formation energy (eV per atom): -0.020
Distance to the lowest polymorph of the same formula (eV per atom): 0.061

***

# 8
A relaxed structure of Ga2Ag12Au5. Source: Alexandria via LeMat-Bulk, functional PBE.

a b c (Å): 7.9827 7.4663 6.9143
angles (deg): 91.31 90.00 122.32
Fractional coordinates of all 19 atoms:
Ag 0.0918 0.1837 0.8886
Ag 0.5826 0.7583 0.3505
Ag 0.9082 0.8163 0.1114
Ag 0.4445 0.8889 0.6797
Ag 0.1757 0.7583 0.3505
Ag 0.3406 0.3133 0.2370
Ag 0.5555 0.1111 0.3203
Ag 0.4174 0.2417 0.6495
Ag 0.9727 0.3133 0.2370
Ag 0.8243 0.2417 0.6495
Ag 0.0273 0.6867 0.7630
Ag 0.6594 0.6867 0.7630
Au 0.0000 0.0000 0.5000
Au 0.3147 0.6294 0.0131
Au 0.6853 0.3706 0.9869
Au 0.7675 0.5351 0.4260
Au 0.2325 0.4649 0.5740
Ga 0.6936 0.0000 0.0000
Ga 0.3064 0.0000 0.0000

Properties
SG: C2/m, No. 12
Raw total energy (Ry per atom): -0.21816
N(E_F) (states/eV/f.u.): 4.78
Calculated formation energy (eV per atom): 0.014

***

# 9
A relaxed structure of Ga2AgAu3. Source: Alexandria via LeMat-Bulk, functional PBE.

a b c (Å): 7.0204 7.0204 5.1299
angles (deg): 71.53 71.53 99.81
Fractional coordinates of all 12 atoms:
Ag 0.9299 0.0701 0.7500
Ag 0.0701 0.9299 0.2500
Au 0.7398 0.5855 0.3242
Au 0.4145 0.2602 0.1758
Au 0.8016 0.1984 0.2500
Au 0.2602 0.4145 0.6758
Au 0.5855 0.7398 0.8242
Au 0.1984 0.8016 0.7500
Ga 0.5286 0.8706 0.2672
Ga 0.4714 0.1294 0.7328
Ga 0.1294 0.4714 0.2328
Ga 0.8706 0.5286 0.7672

Properties
SG: C2/c, No. 15
Raw total energy (Ry per atom): -0.23757
N(E_F) (states/eV/f.u.): 1.52
Calculated formation energy (eV per atom): -0.109
Distance to the lowest polymorph of the same formula (eV per atom): 0.000

***

# 10
A relaxed structure of Ga2Ag3Au3. Source: Alexandria via LeMat-Bulk, functional PBE.

a b c (Å): 4.4550 5.3079 13.7093
angles (deg): 90.00 90.00 114.81
Fractional coordinates of all 16 atoms:
Au 0.4296 0.8591 0.2500
Au 0.3801 0.7602 0.5584
Au 0.5704 0.1409 0.7500
Au 0.6199 0.2398 0.0584
Au 0.3801 0.7602 0.9416
Au 0.6199 0.2398 0.4416
Ga 0.2392 0.4784 0.1138
Ga 0.7608 0.5216 0.8862
Ga 0.7608 0.5216 0.6138
Ga 0.2392 0.4784 0.3862
Ag 0.0644 0.1288 0.5993
Ag 0.9356 0.8712 0.0993
Ag 0.0644 0.1288 0.9007
Ag 0.9356 0.8712 0.4007
Ag 0.7236 0.4472 0.2500
Ag 0.2764 0.5528 0.7500

Properties
SG: Cmcm, No. 63
Raw total energy (Ry per atom): -0.23046
N(E_F) (states/eV/f.u.): 2.32
Calculated formation energy (eV per atom): -0.081
Distance to the lowest polymorph of the same formula (eV per atom): 0.000

***

# 11
A relaxed structure of Ga3Ag2Au8. Source: Alexandria via LeMat-Bulk, functional PBE.

a b c (Å): 4.2157 7.9561 8.7091
angles (deg): 118.64 90.00 90.00
Fractional coordinates of all 13 atoms:
Au 0.0000 0.6390 0.2757
Au 0.5000 0.3751 0.2212
Au 0.0000 0.1117 0.2256
Au 0.0000 0.3610 0.7243
Au 0.5000 0.8483 0.2279
Au 0.5000 0.1517 0.7721
Au 0.0000 0.8883 0.7744
Au 0.5000 0.6249 0.7788
Ag 0.5000 0.2458 0.4815
Ag 0.5000 0.7542 0.5185
Ga 0.0000 0.2933 0.9968
Ga 0.5000 0.0000 0.0000
Ga 0.0000 0.7067 0.0032

Properties
SG: P2/m, No. 10
Raw total energy (Ry per atom): -0.23282
N(E_F) (states/eV/f.u.): 4.26
Calculated formation energy (eV per atom): -0.014
Distance to the lowest polymorph of the same formula (eV per atom): 0.000

***

# 12
A relaxed structure of GaAgAu2. Source: Alexandria via LeMat-Bulk, functional PBE.

a b c (Å): 3.5639 4.4603 4.4603
angles (deg): 90.00 90.00 90.00
Fractional coordinates of all 4 atoms:
Ga 0.5000 0.5000 0.5000
Ag 0.5000 0.0000 0.0000
Au 0.0000 0.5000 0.0000
Au 0.0000 0.0000 0.5000

Properties
SG: P4/mmm, No. 123
Raw total energy (Ry per atom): -0.23428
N(E_F) (states/eV/f.u.): 0.79
Calculated formation energy (eV per atom): -0.079